A plane-wave DFT calculation with PBE was carried out for crystalline La3Pr7Er at its relaxed geometry.

Summary:
Total DFT energy (no corrections) in eV per atom: -4.58
V in Å³ per atom: 36.9
Energy above the most stable polymorph in this dataset in meV/atom: 5
Formation energy in eV/atom: 0.22

Lattice parameters (Å, degrees): 13.1180 11.5135 6.0551 90.00 117.39 90.00
Space group C2/m (No. 12)
Inequivalent atoms, fractional coordinates:
1 La 0.0000 0.0000 0.0000 [2 per cell]
2 La 0.0000 0.2120 0.5000 [4 per cell]
3 Pr 0.0000 0.5000 0.5000 [2 per cell]
4 Pr 0.1962 0.2063 0.1964 [8 per cell]
5 Pr 0.2100 0.0000 0.7104 [4 per cell]
6 Er 0.0000 0.5000 0.0000 [2 per cell]